1.
A relaxed structure of ZrTiI2O, computed with PBE.

The space group is P4/mmm (No. 123) and the conventional cell measures 5.906, 5.906 and 3.985 Å, with angles of 90.00, 90.00 and 90.00 degrees. The inequivalent atoms are Zr at (0.000, 0.000, 0.000), Ti at (0.500, 0.500, 0.500), I at (0.000, 0.500, 0.000) and O at (0.000, 0.000, 0.500).

Its formation energy (no corrections) is -0.619 eV per atom.



2.
A relaxed structure of AlOsF3, computed with PBE.

The space group is Pm-3m (No. 221) and the conventional cell measures 4.247, 4.247 and 4.247 Å, with angles of 90.00, 90.00 and 90.00 degrees. The inequivalent atoms are Al at (0.000, 0.000, 0.000), Os at (0.500, 0.500, 0.500) and F at (0.000, 0.500, 0.500).

Its formation energy (no corrections) is -0.520 eV per atom.



3.
A relaxed structure of GeBiSb2Te, computed with PBE.

The space group is P4/mmm (No. 123) and the conventional cell measures 5.391, 5.391 and 5.333 Å, with angles of 90.00, 90.00 and 90.00 degrees. The inequivalent atoms are Ge at (0.000, 0.000, 0.000), Bi at (0.500, 0.500, 0.500), Sb at (0.000, 0.500, 0.000) and Te at (0.000, 0.000, 0.500).

Its formation energy (no corrections) is 0.508 eV per atom.



4.
A relaxed structure of SmGdMn, computed with PBE.

The space group is I4mm (No. 107) and the conventional cell measures 3.621, 3.621 and 12.348 Å, with angles of 90.00, 90.00 and 90.00 degrees. The inequivalent atoms are Sm at (0.000, 0.000, 0.000), Gd at (0.000, 0.000, 0.713) and Mn at (0.000, 0.000, 0.358).

The energy of formation is 4.93 kcal/mol of atoms.



5.
A relaxed structure of TmBeZnCu, computed with PBE.

The space group is F-43m (No. 216) and the conventional cell measures 6.309, 6.309 and 6.309 Å, with angles of 90.00, 90.00 and 90.00 degrees. The inequivalent atoms are Tm at (0.000, 0.000, 0.000), Be at (0.000, 0.000, 0.500), Zn at (0.250, 0.250, 0.750) and Cu at (0.250, 0.250, 0.250).

The energy of formation is -1.46 kcal/mol of atoms.



6.
A relaxed structure of Mg2ReRu, computed with PBE.

The space group is Pm (No. 6) and the conventional cell measures 2.860, 4.385 and 5.371 Å, with angles of 90.00, 100.05 and 90.00 degrees. The inequivalent atoms are Mg at (0.000, 0.000, 0.000), Mg at (0.279, 0.500, 0.727), Re at (0.675, 0.500, 0.262) and Ru at (0.591, 0.000, 0.461).

The energy of formation is 4.61 kcal/mol of atoms.



7.
A relaxed structure of TbNd5Tl6, computed with PBE.

The space group is Cmmm (No. 65) and the conventional cell measures 5.522, 16.582 and 7.716 Å, with angles of 90.00, 90.00 and 90.00 degrees. The inequivalent atoms are Tb at (0.000, 0.000, 0.000), Nd at (0.000, 0.000, 0.500), Nd at (0.000, 0.331, 0.500), Nd at (0.000, 0.334, 0.000), Tl at (0.000, 0.164, 0.246) and Tl at (0.000, 0.500, 0.247).

The energy of formation is -8.85 kcal/mol of atoms.



8.
A relaxed structure of MnIn2Te, computed with PBE.

The space group is Pm (No. 6) and the conventional cell measures 4.109, 3.930 and 6.570 Å, with angles of 90.00, 107.99 and 90.00 degrees. The inequivalent atoms are Mn at (0.000, 0.000, 0.000), In at (0.223, 0.000, 0.445), In at (0.556, 0.500, 0.114) and Te at (0.843, 0.500, 0.684).

Its formation energy (no corrections) is 0.081 eV per atom.



9.
A relaxed structure of Rb2ReAgCl6, computed with PBE.

The space group is Fm-3m (No. 225) and the conventional cell measures 10.306, 10.306 and 10.306 Å, with angles of 90.00, 90.00 and 90.00 degrees. The inequivalent atoms are Rb at (0.250, 0.250, 0.250), Re at (0.000, 0.000, 0.000), Ag at (0.000, 0.000, 0.500) and Cl at (0.000, 0.000, 0.235).

Its formation energy (no corrections) is -1.004 eV per atom.



10.
A relaxed structure of YCl, computed with PBE.

The space group is I-43m (No. 217) and the conventional cell measures 8.575, 8.575 and 8.575 Å, with angles of 90.00, 90.00 and 90.00 degrees. The inequivalent atoms are Y at (0.141, 0.141, 0.859) and Cl at (0.170, 0.170, 0.170).

Its formation energy (no corrections) is -0.736 eV per atom.



11.
A relaxed structure of Rb4Nd3PbO8, computed with PBE.

The space group is R-3m (No. 166, hexagonal axes) and the conventional cell measures 7.3271, 7.3271 and 19.8763 Å, with angles of 90.00, 90.00 and 120.00 degrees. The inequivalent atoms are Rb at (0.0000, 0.0000, 0.0000), Rb at (0.0000, 0.5000, 0.0000), Nd at (0.0000, 0.5000, 0.5000), Pb at (0.0000, 0.0000, 0.5000), O at (0.0000, 0.0000, 0.2265) and O at (0.0061, 0.5030, 0.7713).

Its formation energy (no corrections) is -2.180 eV per atom.



12.
A relaxed structure of HfV2N3, computed with PBE.

The space group is Immm (No. 71) and the conventional cell measures 3.022, 4.276 and 9.225 Å, with angles of 90.00, 90.00 and 90.00 degrees. The inequivalent atoms are Hf at (0.000, 0.000, 0.000), V at (0.000, 0.000, 0.320), N at (0.000, 0.500, 0.000) and N at (0.000, 0.500, 0.330).

Its formation energy (no corrections) is -1.205 eV per atom.



13.
A relaxed structure of CeSm8In2, computed with PBE.

The space group is C2/m (No. 12) and the conventional cell measures 17.229, 6.730 and 6.377 Å, with angles of 90.00, 103.35 and 90.00 degrees. The inequivalent atoms are Ce at (0.000, 0.000, 0.000), Sm at (0.084, 0.500, 0.922), Sm at (0.099, 0.250, 0.463), Sm at (0.220, 0.000, 0.161) and In at (0.243, 0.500, 0.311).

The energy of formation is -0.78 kcal/mol of atoms.



14.
A relaxed structure of U2Cu4S5, computed with PBE.

The space group is R-3m (No. 166, hexagonal axes) and the conventional cell measures 3.7813, 3.7813 and 48.1606 Å, with angles of 90.00, 90.00 and 120.00 degrees. The inequivalent atoms are U at (0.0000, 0.0000, 0.1332), Cu at (0.0000, 0.0000, 0.3115), Cu at (0.0000, 0.0000, 0.4135), S at (0.0000, 0.0000, 0.2354), S at (0.0000, 0.0000, 0.3664) and S at (0.0000, 0.0000, 0.5000).

Its formation energy (no corrections) is -0.666 eV per atom.



15.
A relaxed structure of Te5Br3, computed with PBE.

The space group is Cmmm (No. 65) and the conventional cell measures 9.518, 14.224 and 3.719 Å, with angles of 90.00, 90.00 and 90.00 degrees. The inequivalent atoms are Te at (0.000, 0.000, 0.000), Te at (0.239, 0.000, 0.500), Te at (0.250, 0.250, 0.000), Br at (0.000, 0.251, 0.500) and Br at (0.000, 0.500, 0.000).

Its formation energy (no corrections) is 0.205 eV per atom.



16.
A relaxed structure of ScPH2, computed with PBE.

The space group is Fm-3m (No. 225) and the conventional cell measures 5.390, 5.390 and 5.390 Å, with angles of 90.00, 90.00 and 90.00 degrees. The inequivalent atoms are Sc at (0.000, 0.000, 0.000), P at (0.000, 0.000, 0.500) and H at (0.250, 0.250, 0.250).

The calculation puts the total energy at -4.7551 eV per atom.



17.
A relaxed structure of MgZr2Au, computed with PBE.

The space group is P4mm (No. 99) and the conventional cell measures 3.224, 3.224 and 8.193 Å, with angles of 90.00, 90.00 and 90.00 degrees. The inequivalent atoms are Mg at (0.000, 0.000, 0.000), Zr at (0.000, 0.000, 0.556), Zr at (0.500, 0.500, 0.293) and Au at (0.500, 0.500, 0.795).

The energy of formation is -7.57 kcal/mol of atoms.



18.
A relaxed structure of GaBN2, computed with PBE.

The space group is I-42d (No. 122) and the conventional cell measures 4.164, 4.164 and 7.777 Å, with angles of 90.00, 90.00 and 90.00 degrees. The inequivalent atoms are Ga at (0.000, 0.000, 0.000), B at (0.000, 0.000, 0.500) and N at (0.181, 0.250, 0.625).

Its formation energy (no corrections) is -0.647 eV per atom.



19.
A relaxed structure of BC4, computed with PBE.

The space group is Imm2 (No. 44) and the conventional cell measures 2.504, 12.869 and 3.781 Å, with angles of 90.00, 90.00 and 90.00 degrees. The inequivalent atoms are B at (0.000, 0.101, 0.000), C at (0.000, 0.000, 0.246), C at (0.000, 0.204, 0.246), C at (0.000, 0.299, 0.986), C at (0.000, 0.400, 0.207) and C at (0.000, 0.500, 0.981).

The energy of formation is 6.44 kcal/mol of atoms.



20.
A relaxed structure of CoI2Br, computed with PBE.

The space group is Fm-3m (No. 225) and the conventional cell measures 7.508, 7.508 and 7.508 Å, with angles of 90.00, 90.00 and 90.00 degrees. The inequivalent atoms are Co at (0.000, 0.000, 0.000), I at (0.250, 0.250, 0.250) and Br at (0.000, 0.000, 0.500).

Its formation energy (no corrections) is 0.747 eV per atom.



21.
A relaxed structure of RbEuAu4, computed with PBE.

The space group is F-43m (No. 216) and the conventional cell measures 8.309, 8.309 and 8.309 Å, with angles of 90.00, 90.00 and 90.00 degrees. The inequivalent atoms are Rb at (0.000, 0.000, 0.000), Eu at (0.250, 0.250, 0.250) and Au at (0.125, 0.125, 0.625).

The energy of formation is -7.80 kcal/mol of atoms.



22.
A relaxed structure of TbCeRu4, computed with PBE.

The space group is F-43m (No. 216) and the conventional cell measures 7.577, 7.577 and 7.577 Å, with angles of 90.00, 90.00 and 90.00 degrees. The inequivalent atoms are Tb at (0.000, 0.000, 0.000), Ce at (0.250, 0.250, 0.750) and Ru at (0.125, 0.125, 0.375).

The energy of formation is -6.32 kcal/mol of atoms.



23.
A relaxed structure of Mg3Ta, computed with PBE.

The space group is P2/m (No. 10) and the conventional cell measures 2.850, 4.888 and 5.870 Å, with angles of 90.00, 99.49 and 90.00 degrees. The inequivalent atoms are Mg at (0.000, 0.000, 0.000), Mg at (0.193, 0.500, 0.736) and Ta at (0.500, 0.000, 0.500).

The energy of formation is 6.91 kcal/mol of atoms.



24.
A relaxed structure of Fe2IrCl, computed with PBE.

The space group is Pmmm (No. 47) and the conventional cell measures 2.861, 4.407 and 4.449 Å, with angles of 90.00, 90.00 and 90.00 degrees. The inequivalent atoms are Fe at (0.000, 0.000, 0.000), Fe at (0.500, 0.500, 0.000), Ir at (0.000, 0.500, 0.500) and Cl at (0.500, 0.000, 0.500).

Its formation energy (no corrections) is 0.676 eV per atom.



25.
A relaxed structure of CsBiRh, computed with PBE.

The space group is P4/nmm (No. 129, origin choice 2) and the conventional cell measures 4.863, 4.863 and 8.858 Å, with angles of 90.00, 90.00 and 90.00 degrees. The inequivalent atoms are Cs at (0.250, 0.250, 0.169), Bi at (0.250, 0.250, 0.640) and Rh at (0.250, 0.750, 0.500).

The energy of formation is -4.11 kcal/mol of atoms.



26.
A relaxed structure of TaSi4Tc2, computed with PBE.

The space group is I4/mmm (No. 139) and the conventional cell measures 4.651, 4.651 and 12.312 Å, with angles of 90.00, 90.00 and 90.00 degrees. The inequivalent atoms are Ta at (0.000, 0.000, 0.000), Si at (0.000, 0.000, 0.207), Si at (0.000, 0.500, 0.000) and Tc at (0.000, 0.000, 0.398).

Its formation energy (no corrections) is 0.697 eV per atom.